Record 1
Below is Mg3NO2 after structural relaxation, with properties calculated at the PBE-GGA level.

Calculated values
Density of states at the Fermi level   1.25 states/eV/f.u.
Final energy   -5.6232 eV per atom
Density   3.269 g cm⁻³
Formation energy from raw total energies   -1.786 eV/atom

Unit cell a=5.3054 b=5.3054 c=5.1803 alpha=99.34 beta=99.34 gamma=119.01
Atoms (fractional coordinates):
Mg  0.0000  0.5000  0.5000
Mg  0.1554  0.3249  0.0005
Mg  0.3249  0.1554  0.5005
Mg  0.5000  0.0000  0.0000
Mg  0.6751  0.8446  0.4995
Mg  0.8446  0.6751  0.9995
N  0.4194  0.5806  0.7500
N  0.5806  0.4194  0.2500
O  0.0861  0.9139  0.7500
O  0.2499  0.7501  0.2500
O  0.7501  0.2499  0.7500
O  0.9139  0.0861  0.2500

=====

Record 2
Below is HoPa2Tc2 after structural relaxation, with properties calculated at the PBE-GGA level.

Calculated values
Density of states at the Fermi level   6.03 states/eV/f.u.
Final energy   -9.0222 eV per atom
Density   12.637 g cm⁻³
Formation energy   -15.62 kJ/mol of atoms

Unit cell a=3.4918 b=5.2942 c=11.8293 alpha=90.00 beta=98.49 gamma=90.00
Atoms (fractional coordinates):
Ho  0.1435  0.2500  0.2847
Ho  0.8565  0.7500  0.7153
Pa  0.0499  0.7500  0.1000
Pa  0.2344  0.7500  0.4716
Pa  0.7656  0.2500  0.5284
Pa  0.9501  0.2500  0.9000
Tc  0.3568  0.2500  0.7143
Tc  0.4621  0.7500  0.9248
Tc  0.5379  0.2500  0.0752
Tc  0.6432  0.7500  0.2857

=====

Record 3
Below is Tb2Zn3Hg after structural relaxation, with properties calculated at the PBE-GGA level.

Calculated values
Density of states at the Fermi level   6.03 states/eV/f.u.
Final energy   -2.5324 eV per atom
Density   8.792 g cm⁻³
Formation energy   -29.11 kJ/mol of atoms

Unit cell a=8.4919 b=8.4919 c=8.4919 alpha=153.10 beta=150.78 gamma=40.13
Atoms (fractional coordinates):
Tb  0.0000  0.0000  0.0000
Tb  0.7661  0.2661  0.5000
Zn  0.1843  0.6843  0.5000
Zn  0.3384  0.8384  0.5000
Zn  0.4255  0.4255  0.0000
Hg  0.5918  0.5918  0.0000